Here is a relaxed Pu3Co8Ni crystal from Alexandria. Energies are from GGA-PBE.

It has space group R3m (No. 160, hexagonal axes), with a = 4.9137 Å, b = 4.9137 Å, c = 24.2211 Å, α = 90.00°, β = 90.00° and γ = 120.00°. The inequivalent atoms are Pu at (0.0000, 0.0000, 0.0000), Pu at (0.0000, 0.0000, 0.1287), Pu at (0.0000, 0.0000, 0.6171), Co at (0.0000, 0.0000, 0.3120), Co at (0.0000, 0.0000, 0.8122), Co at (0.0047, 0.5023, 0.0649), Co at (0.1677, 0.3354, 0.8923) and Ni at (0.0000, 0.0000, 0.4929).

For the formation energy, the calculation gives -0.0934 eV per atom. The uncorrected energy is -8.90 eV per atom.

=====

Here is a relaxed Re2OsO crystal from Alexandria. Energies are from GGA-PBE.

It has space group I-42d (No. 122), with a = 4.5601 Å, b = 4.5601 Å, c = 12.3181 Å, α = 90.00°, β = 90.00° and γ = 90.00°. The inequivalent atoms are Re at (0.1514, 0.2500, 0.1250), Os at (0.0000, 0.0000, 0.5000) and O at (0.0000, 0.0000, 0.0000).

The uncorrected formation energy comes out at 558 meV per atom. The uncorrected energy is -9.71 eV per atom.

=====

Here is a relaxed Ho3Er4Pd4 crystal from Alexandria. Energies are from GGA-PBE.

It has space group Immm (No. 71), with a = 3.8085 Å, b = 9.0328 Å, c = 15.8226 Å, α = 90.00°, β = 90.00° and γ = 90.00°. The inequivalent atoms are Ho at (0.0000, 0.0000, 0.0000), Ho at (0.0000, 0.5000, 0.1061), Er at (0.0000, 0.3141, 0.3374), Pd at (0.0000, 0.0000, 0.2482) and Pd at (0.0000, 0.1783, 0.5000).

For the formation energy, the calculation gives -0.6113 eV per atom. The uncorrected energy is -5.41 eV per atom.

=====

Here is a relaxed Rb2SrHg3Bi4 crystal from Alexandria. Energies are from GGA-PBE.

It has space group P-4m2 (No. 115), with a = 5.2750 Å, b = 5.2750 Å, c = 13.2558 Å, α = 90.00°, β = 90.00° and γ = 90.00°. The inequivalent atoms are Rb at (0.0000, 0.5000, 0.2349), Sr at (0.0000, 0.0000, 0.5000), Hg at (0.0000, 0.5000, 0.8703), Hg at (0.5000, 0.5000, 0.5000), Bi at (0.0000, 0.0000, 0.0000), Bi at (0.0000, 0.5000, 0.6465) and Bi at (0.5000, 0.5000, 0.0000).

For the formation energy, the calculation gives -0.3001 eV per atom. The uncorrected energy is -2.30 eV per atom.